A plane-wave DFT calculation with PBE with a Hubbard U was carried out for a relaxed Cs2PaNiO6 crystal.

Calculated values
* VASP energy: -6.023 eV/atom

```
data_Cs2PaNiO6
_space_group_name_H-M_alt 'I 4/m m m'
_space_group_IT_number 139
_space_group_name_Hall '-I 4 2'
_cell_length_a 6.112
_cell_length_b 6.112
_cell_length_c 8.621
_cell_angle_alpha 90.00
_cell_angle_beta 90.00
_cell_angle_gamma 90.00
loop_
_atom_site_label
_atom_site_type_symbol
_atom_site_fract_x
_atom_site_fract_y
_atom_site_fract_z
_atom_site_occupancy
Cs1 Cs 0.000 0.500 0.250 1
Pa1 Pa 0.000 0.000 0.000 1
Ni1 Ni 0.000 0.000 0.500 1
O1 O 0.000 0.000 0.251 1
O2 O 0.249 0.249 0.000 1
```